Entry from Alexandria via LeMat-Bulk: a relaxed structure of Ac2MgBe (PBE-GGA).

Cell lengths 3.7382, 3.7382, 12.1063 Å; angles 81.12, 81.12, 60.00 degrees
Closest atoms and distances in Å follow each position.
Fractional positions:
Ac: 0.9122 0.9122 0.2634  1 Be 3.14
Ac: 0.0878 0.0878 0.7366  1 Be 3.14
Be: 0.0000 0.0000 0.0000  2 Ac 3.14
Mg: 0.5000 0.5000 0.5000  6 Ac 3.55, 6 Mg 3.74

Output
Formation energy (meV/atom): 807
Offset from the most stable computed form (eV per atom): 0.669
Crystal system: trigonal
Symmetry: R-3m (166)

---

Entry from Alexandria via LeMat-Bulk: a relaxed structure of Ac2MgBe (PBE-GGA).

Cell lengths 3.8598, 3.8598, 8.2022 Å; angles 90.00, 90.00, 90.00 degrees
Closest atoms and distances in Å follow each position.
Fractional positions:
Be: 0.5000 0.5000 0.0000  8 Ac 3.25
Mg: 0.5000 0.5000 0.5000  8 Ac 3.59, 4 Mg 3.86
Ac: 0.0000 0.0000 0.2160  4 Be 3.25, 1 Ac 3.54, 4 Mg 3.59
Ac: 0.0000 0.0000 0.7840  4 Be 3.25, 1 Ac 3.54, 4 Mg 3.59

Output
Formation energy (meV/atom): 138
Offset from the most stable computed form (eV per atom): 0.000
Crystal system: tetragonal
Symmetry: P4/mmm (123)

---

Entry from Alexandria via LeMat-Bulk: a relaxed structure of AcMgBeN2 (PBE-GGA).

Cell lengths 4.1873, 5.9081, 6.1101 Å; angles 103.24, 90.00, 90.00 degrees
Closest atoms and distances in Å follow each position.
Fractional positions:
N: 0.2515 0.7982 0.4571  1 Be 1.57
N: 0.7485 0.2018 0.5429  1 Be 1.57
N: 0.7485 0.7982 0.9571  1 Be 1.57
N: 0.2515 0.2018 0.0429  1 Be 1.57
Ac: 0.7674 0.5000 0.2500  6 N 2.79-2.89
Ac: 0.2326 0.5000 0.7500  6 N 2.79-2.89
Mg: 0.4833 0.0000 0.2500  4 N 2.16-2.21
Mg: 0.5167 0.0000 0.7500  4 N 2.16-2.21
Be: 0.0000 0.0000 0.5000  2 N 1.57
Be: 0.0000 0.0000 0.0000  2 N 1.57

Output
Formation energy (no corrections) (eV/f.u.): -3.4
Crystal system: monoclinic
Symmetry: P2/c (13)

---

Entry from Alexandria via LeMat-Bulk: a relaxed structure of Ac2MgBePt6 (PBE-GGA).

Cell lengths 5.9491, 7.4807, 5.9584 Å; angles 66.39, 60.06, 90.00 degrees
Closest atoms and distances in Å follow each position.
Fractional positions:
Pt: 0.2616 0.3104 0.9511  1 Be 2.20
Pt: 0.2125 0.6895 0.0490  1 Be 2.20
Pt: 0.7384 0.6896 0.0489  1 Be 2.20
Pt: 0.7875 0.3105 0.9510  1 Be 2.20
Pt: 0.2612 0.3116 0.4776  1 Be 2.20
Pt: 0.7388 0.6884 0.5224  1 Be 2.20
Ac: 0.2753 0.8262 0.4493  6 Pt 3.11-3.12
Ac: 0.7247 0.1738 0.5507  6 Pt 3.11-3.12
Be: 0.5000 0.5000 0.0000  6 Pt 2.20
Mg: 0.0000 0.0000 0.0000  6 Pt 2.63

Output
Formation energy (meV/atom): -834
Crystal system: monoclinic
Symmetry: C2/m (12)

---

Entry from Alexandria via LeMat-Bulk: a relaxed structure of AcMgBe2Si2 (PBE-GGA).

Cell lengths 3.9853, 3.9853, 7.9677 Å; angles 90.00, 90.00, 120.00 degrees
Closest atoms and distances in Å follow each position.
Fractional positions:
Si: 0.3333 0.6667 0.2834  3 Be 2.30
Si: 0.6667 0.3333 0.7166  3 Be 2.30
Be: 0.3333 0.6667 0.7039  3 Si 2.30
Be: 0.6667 0.3333 0.2961  3 Si 2.30
Mg: 0.0000 0.0000 0.5000  6 Be 2.82, 6 Si 2.88
Ac: 0.0000 0.0000 0.0000  6 Si 3.22, 6 Be 3.30

Output
Formation energy (no corrections) (eV/f.u.): -1.3
Crystal system: trigonal
Symmetry: P-3m1 (164)

---

Entry from Alexandria via LeMat-Bulk: a relaxed structure of AcMg2BeSi2 (PBE-GGA).

Cell lengths 4.3733, 4.3733, 7.8786 Å; angles 106.11, 106.11, 90.00 degrees
Closest atoms and distances in Å follow each position.
Fractional positions:
Mg: 0.2500 0.7500 0.5000  4 Si 2.70
Mg: 0.7500 0.2500 0.5000  4 Si 2.70
Be: 0.0000 0.0000 0.0000  2 Si 2.04
Ac: 0.5000 0.5000 0.0000  4 Be 3.09
Si: 0.8594 0.8594 0.7188  1 Be 2.04
Si: 0.1406 0.1406 0.2812  1 Be 2.04

Output
Formation energy (no corrections) (eV/f.u.): -0.6
Crystal system: tetragonal
Symmetry: I4/mmm (139)